[1]
DFT (PBE) results for crystalline InCuIO6 at its relaxed geometry.

abc: 4.8048 4.8048 9.4435
angles: 90.00 90.00 90.00
Sites, in units of the cell vectors:
1 In 0.0000 0.0000 0.0000
2 In 0.5000 0.5000 0.5000
3 Cu 0.0000 0.0000 0.3311
4 Cu 0.5000 0.5000 0.8311
5 I 0.0000 0.0000 0.6642
6 I 0.5000 0.5000 0.1642
7 O 0.1812 0.1812 0.5067
8 O 0.1925 0.1925 0.8135
9 O 0.2144 0.2144 0.1685
10 O 0.2856 0.7144 0.6685
11 O 0.3075 0.6925 0.3135
12 O 0.3188 0.6812 0.0067
13 O 0.6812 0.3188 0.0067
14 O 0.6925 0.3075 0.3135
15 O 0.7144 0.2856 0.6685
16 O 0.7856 0.7856 0.1685
17 O 0.8075 0.8075 0.8135
18 O 0.8188 0.8188 0.5067

* formation energy (no corrections): -5.62 eV per formula unit
* Fermi-level density of states: 6.31 states/eV/cell
* VASP energy: -87.50 eV per cell


[2]
DFT (PBE) results for crystalline YHo2Ag2 at its relaxed geometry.

abc: 5.2410 4.8534 10.9614
angles: 90.00 95.28 90.00
Sites, in units of the cell vectors:
1 Y 0.1965 0.2500 0.2420
2 Y 0.8035 0.7500 0.7580
3 Ho 0.2498 0.7500 0.4941
4 Ho 0.3410 0.2500 0.8885
5 Ho 0.6590 0.7500 0.1115
6 Ho 0.7502 0.2500 0.5059
7 Ag 0.1437 0.7500 0.0086
8 Ag 0.2764 0.2500 0.6346
9 Ag 0.7236 0.7500 0.3654
10 Ag 0.8563 0.2500 0.9914

* Fermi-level density of states: 10.22 states/eV/cell
* E above lowest polymorph: 0.150 eV per atom
* VASP energy: -43.63 eV per cell
* energy relative to the elements: -0.5 eV/f.u.